This record from Alexandria via LeMat-Bulk describes a PBEsol-optimized structure of Cd2PBr. The functional is meta-GGA SCAN.

Lattice parameters (Å, degrees): 4.9139 4.9139 4.9139 60.00 60.00 60.00
Fractional positions:
1 Cd 0.0000 0.0000 0.0000
2 P 0.7500 0.7500 0.7500
3 Br 0.5000 0.5000 0.5000
4 Cd 0.2500 0.2500 0.2500

## Properties
- uncorrected energy (eV/atom) = -22.182
- energy relative to the lowest polymorph listed for this composition (meV/atom) = 928.2
- SG = F-43m